--- P ---
Computed, not measured: a geometry-optimized TlBiTeSe structure at the PBE level of DFT.

Summary:
Its spin magnetization is 0.00 μB per cell. The value obtained for the calculated volume is 31.82 Å³ per atom.

Geometry as extended XYZ:
```
4
Lattice="4.522 0.000 0.000 0.000 4.522 0.000 0.000 0.000 6.226" Properties=species:S:1:pos:R:3 pbc="T T T"
Tl 0.000 0.000 0.000
Bi 2.261 2.261 3.113
Te 0.000 0.000 3.113
Se 2.261 2.261 0.000
```



--- Q ---
Computed, not measured: a geometry-optimized TlBiTeSe structure at the PBE level of DFT.

Summary:
Its spin magnetization is 0.00 μB per cell. The value obtained for the calculated volume is 33.75 Å³ per atom.

Geometry as extended XYZ:
```
12
Lattice="4.381 0.000 0.000 -2.191 3.794 0.000 0.000 0.000 24.363" Properties=species:S:1:pos:R:3 pbc="T T T"
Tl 0.000 0.000 0.000
Tl 0.000 2.529 16.242
Tl 2.191 1.265 8.121
Bi 0.000 0.000 3.855
Bi 0.000 2.529 20.097
Bi 2.191 1.265 11.976
Te 0.000 0.000 13.850
Te 0.000 2.529 5.729
Te 2.191 1.265 21.971
Se 0.000 0.000 18.464
Se 0.000 2.529 10.343
Se 2.191 1.265 2.222
```



Q: What are the energies relative to the best structure? A: P 152; Q 0, in meV per atom.



--- P ---
Computed, not measured: a geometry-optimized TlBi2Se2 structure at the PBE level of DFT.

Summary:
Its spin magnetization is 0.00 μB per cell. The value obtained for the calculated volume is 29.71 Å³ per atom.

Geometry as extended XYZ:
```
10
Lattice="8.650 0.000 0.000 0.000 8.650 0.000 0.000 0.000 3.971" Properties=species:S:1:pos:R:3 pbc="T T T"
Tl 0.000 0.000 0.000
Tl 4.325 4.325 0.000
Bi 1.345 2.980 0.000
Bi 2.980 7.305 0.000
Bi 5.670 1.345 0.000
Bi 7.305 5.670 0.000
Se 1.519 5.844 1.986
Se 2.806 1.519 1.986
Se 5.844 7.131 1.986
Se 7.131 2.806 1.986
```



--- Q ---
Computed, not measured: a geometry-optimized TlBi2Se2 structure at the PBE level of DFT.

Summary:
Its spin magnetization is 0.00 μB per cell. The value obtained for the calculated volume is 33.10 Å³ per atom.

Geometry as extended XYZ:
```
10
Lattice="5.780 0.000 0.000 0.000 5.780 0.000 0.000 0.000 9.908" Properties=species:S:1:pos:R:3 pbc="T T T"
Tl 0.000 0.000 0.000
Tl 2.890 2.890 4.954
Bi 0.000 0.000 3.267
Bi 0.000 0.000 6.641
Bi 2.890 2.890 1.687
Bi 2.890 2.890 8.221
Se 0.000 2.890 2.477
Se 0.000 2.890 7.431
Se 2.890 0.000 2.477
Se 2.890 0.000 7.431
```



--- R ---
Computed, not measured: a geometry-optimized TlBi2Se2 structure at the PBE level of DFT.

Summary:
Its spin magnetization is 0.00 μB per cell. The value obtained for the calculated volume is 31.43 Å³ per atom.

Geometry as extended XYZ:
```
10
Lattice="4.588 0.000 0.000 0.000 4.588 0.000 0.000 0.000 14.933" Properties=species:S:1:pos:R:3 pbc="T T T"
Tl 0.000 0.000 0.000
Tl 2.294 2.294 7.467
Bi 0.000 2.294 3.733
Bi 0.000 2.294 11.200
Bi 2.294 0.000 3.733
Bi 2.294 0.000 11.200
Se 0.000 0.000 6.193
Se 0.000 0.000 8.740
Se 2.294 2.294 1.274
Se 2.294 2.294 13.660
```



--- S ---
Computed, not measured: a geometry-optimized TlBi2Se2 structure at the PBE level of DFT.

Summary:
Its spin magnetization is 0.00 μB per cell. The value obtained for the calculated volume is 29.97 Å³ per atom.

Geometry as extended XYZ:
```
10
Lattice="8.815 0.000 0.000 0.000 8.815 0.000 0.000 0.000 3.857" Properties=species:S:1:pos:R:3 pbc="T T T"
Tl 0.000 0.000 0.000
Tl 4.408 4.408 0.000
Bi 1.653 2.755 1.928
Bi 2.755 7.163 1.928
Bi 6.061 1.653 1.928
Bi 7.163 6.061 1.928
Se 1.289 5.697 0.000
Se 3.118 1.289 0.000
Se 5.697 7.526 0.000
Se 7.526 3.118 0.000
```



Q: What are the energies relative to the best structure? A: P 56; Q 0; R 143; S 70, in meV per atom.



--- P ---
Computed, not measured: a geometry-optimized Tl2BiSe2 structure at the PBE level of DFT.

Summary:
Its spin magnetization is 0.00 μB per cell. The value obtained for the calculated volume is 30.70 Å³ per atom.

Geometry as extended XYZ:
```
10
Lattice="3.830 0.000 0.000 0.000 3.830 0.000 0.000 0.000 20.927" Properties=species:S:1:pos:R:3 pbc="T T T"
Tl 0.000 0.000 2.348
Tl 0.000 0.000 18.580
Tl 1.915 1.915 8.116
Tl 1.915 1.915 12.811
Bi 0.000 0.000 10.464
Bi 1.915 1.915 0.000
Se 0.000 1.915 5.232
Se 0.000 1.915 15.695
Se 1.915 0.000 5.232
Se 1.915 0.000 15.695
```



--- Q ---
Computed, not measured: a geometry-optimized Tl2BiSe2 structure at the PBE level of DFT.

Summary:
Its spin magnetization is 0.00 μB per cell. The value obtained for the calculated volume is 30.91 Å³ per atom.

Geometry as extended XYZ:
```
10
Lattice="8.103 0.000 0.000 0.000 8.103 0.000 0.000 0.000 4.708" Properties=species:S:1:pos:R:3 pbc="T T T"
Tl 1.158 2.893 0.000
Tl 2.893 6.945 0.000
Tl 5.210 1.158 0.000
Tl 6.945 5.210 0.000
Bi 0.000 0.000 2.354
Bi 4.051 4.051 2.354
Se 1.421 5.472 2.354
Se 2.631 1.421 2.354
Se 5.472 6.682 2.354
Se 6.682 2.631 2.354
```



--- R ---
Computed, not measured: a geometry-optimized Tl2BiSe2 structure at the PBE level of DFT.

Summary:
Its spin magnetization is 0.00 μB per cell. The value obtained for the calculated volume is 31.71 Å³ per atom.

Geometry as extended XYZ:
```
10
Lattice="6.891 0.000 0.000 0.000 11.218 0.000 0.000 0.000 4.101" Properties=species:S:1:pos:R:3 pbc="T T T"
Tl 0.536 1.809 0.000
Tl 2.909 7.418 0.000
Tl 3.982 3.801 0.000
Tl 6.355 9.410 0.000
Bi 0.000 5.609 0.000
Bi 3.446 0.000 0.000
Se 1.468 4.086 2.051
Se 1.978 9.695 2.051
Se 4.914 1.524 2.051
Se 5.423 7.133 2.051
```



Q: What are the energies relative to the best structure? A: P 286; Q 66; R 0, in meV per atom.



--- P ---
Computed, not measured: a geometry-optimized Tl3BiSe3 structure at the PBE level of DFT.

Summary:
Its spin magnetization is 0.00 μB per cell. The value obtained for the calculated volume is 36.97 Å³ per atom.

Geometry as extended XYZ:
```
14
Lattice="4.786 -6.809 0.000 4.786 6.809 0.000 -0.489 0.000 7.941" Properties=species:S:1:pos:R:3 pbc="T T T"
Tl 4.786 4.206 0.000
Tl 4.541 3.711 3.970
Tl 2.679 0.000 7.557
Tl 6.404 0.000 0.384
Tl 4.541 -3.711 3.970
Tl 4.786 -4.206 0.000
Bi 1.859 0.000 3.180
Bi 7.223 0.000 4.761
Se 0.151 0.000 5.874
Se 2.794 2.186 1.792
Se 2.794 -2.186 1.792
Se 6.289 2.186 6.149
Se 6.289 -2.186 6.149
Se 8.932 0.000 2.067
```



--- Q ---
Computed, not measured: a geometry-optimized Tl3BiSe3 structure at the PBE level of DFT.

Summary:
Its spin magnetization is 0.00 μB per cell. The value obtained for the calculated volume is 34.38 Å³ per atom.

Geometry as extended XYZ:
```
28
Lattice="-6.220 6.220 6.220 6.220 -6.220 6.220 6.220 6.220 -6.220" Properties=species:S:1:pos:R:3 pbc="T T T"
Tl 4.690 4.665 -4.640
Tl 4.640 -1.530 1.555
Tl 4.665 -4.640 4.690
Tl 1.555 4.640 -1.530
Tl 7.775 1.580 1.530
Tl 4.665 4.640 1.530
Tl -1.530 1.555 4.640
Tl 4.640 1.530 4.665
Tl 1.530 4.665 4.640
Tl 1.580 1.530 7.775
Tl -4.640 4.690 4.665
Tl 1.530 7.775 1.580
Bi 4.665 1.555 -1.555
Bi 1.555 1.555 1.555
Bi 1.555 -1.555 4.665
Bi -1.555 4.665 1.555
Se 1.690 1.555 -1.421
Se 7.641 1.690 -1.555
Se 1.555 -1.421 1.690
Se 4.800 4.531 -1.555
Se 4.531 1.555 1.421
Se -1.421 1.690 1.555
Se 4.531 -1.555 4.800
Se 1.555 1.421 4.531
Se 1.421 4.531 1.555
Se 1.690 -1.555 7.641
Se -1.555 7.641 1.690
Se -1.555 4.800 4.531
```



Q: What are the energies relative to the best structure? A: P 103; Q 0, in meV per atom.



--- P ---
Computed, not measured: a geometry-optimized Tl2BiSe structure at the PBE level of DFT.

Summary:
Its spin magnetization is 0.00 μB per cell. The value obtained for the calculated volume is 40.65 Å³ per atom.

Geometry as extended XYZ:
```
16
Lattice="6.825 0.000 0.000 0.000 6.825 0.000 0.000 0.000 13.964" Properties=species:S:1:pos:R:3 pbc="T T T"
Tl 1.596 1.706 1.746
Tl 1.706 5.009 5.237
Tl 1.706 5.228 12.219
Tl 1.816 1.706 8.728
Tl 5.009 5.118 8.728
Tl 5.118 1.596 12.219
Tl 5.118 1.816 5.237
Tl 5.228 5.118 1.746
Bi 0.000 0.000 6.982
Bi 0.000 3.412 10.473
Bi 3.412 0.000 3.491
Bi 3.412 3.412 0.000
Se 0.000 0.000 0.000
Se 0.000 3.412 3.491
Se 3.412 0.000 10.473
Se 3.412 3.412 6.982
```



--- Q ---
Computed, not measured: a geometry-optimized Tl2BiSe structure at the PBE level of DFT.

Summary:
Its spin magnetization is 0.00 μB per cell. The value obtained for the calculated volume is 33.76 Å³ per atom.

Geometry as extended XYZ:
```
12
Lattice="3.899 0.000 0.000 -1.950 3.377 0.000 0.000 0.000 30.765" Properties=species:S:1:pos:R:3 pbc="T T T"
Tl 0.000 0.000 3.209
Tl 0.000 0.000 27.556
Tl 0.000 2.251 17.301
Tl 0.000 2.251 23.719
Tl 1.950 1.126 7.046
Tl 1.950 1.126 13.464
Bi 0.000 0.000 0.000
Bi 0.000 2.251 20.510
Bi 1.950 1.126 10.255
Se 0.000 0.000 15.383
Se 0.000 2.251 5.128
Se 1.950 1.126 25.638
```



Q: What are the energies relative to the best structure? A: P 0; Q 6, in meV per atom.